a) Below is MnTe2O5 at its PBEsol-relaxed geometry, with properties calculated at the meta-GGA SCAN level.

Output
The value obtained for the spin magnetization is 5.0 μB/f.u.

abc: 5.996 7.367 10.771
angles: 90.00 90.00 90.00
Each line ends with the local moment (μB).
Sites, in units of the cell vectors:
Mn 0.750 0.000 0.940  4.50
Mn 0.250 0.500 0.560  4.50
Mn 0.250 0.000 0.060  4.50
Mn 0.750 0.500 0.440  4.50
Te 0.009 0.869 0.347  0.05
Te 0.509 0.631 0.153  0.05
Te 0.991 0.369 0.153  0.05
Te 0.491 0.131 0.347  0.05
Te 0.509 0.869 0.653  0.05
Te 0.009 0.631 0.847  0.05
Te 0.491 0.369 0.847  0.05
Te 0.991 0.131 0.653  0.05
O 0.250 0.000 0.446  0.01
O 0.750 0.500 0.054  0.01
O 0.750 0.000 0.554  0.01
O 0.250 0.500 0.946  0.01
O 0.954 0.346 0.560  0.04
O 0.454 0.154 0.940  0.04
O 0.046 0.846 0.940  0.04
O 0.546 0.654 0.560  0.04
O 0.046 0.654 0.440  0.04
O 0.546 0.846 0.060  0.04
O 0.954 0.154 0.060  0.04
O 0.454 0.346 0.440  0.04
O 0.800 0.193 0.788  0.03
O 0.300 0.307 0.712  0.03
O 0.200 0.693 0.712  0.03
O 0.700 0.807 0.788  0.03
O 0.300 0.193 0.212  0.03
O 0.800 0.307 0.288  0.03
O 0.700 0.693 0.288  0.03
O 0.200 0.807 0.212  0.03


b) Below is MnTe2O5 at its PBEsol-relaxed geometry, with properties calculated at the meta-GGA SCAN level.

Output
The value obtained for the spin magnetization is 5.0 μB/f.u.

abc: 8.684 8.684 12.929
angles: 90.00 90.00 90.00
Each line ends with the local moment (μB).
Sites, in units of the cell vectors:
O 0.306 0.806 0.500  0.03
O 0.694 0.806 0.000  0.03
O 0.306 0.194 0.000  0.03
O 0.694 0.194 0.500  0.03
O 0.194 0.694 0.000  0.03
O 0.806 0.694 0.500  0.03
O 0.194 0.306 0.500  0.03
O 0.806 0.306 0.000  0.03
O 0.123 0.272 0.703  0.03
O 0.877 0.728 0.703  0.03
O 0.772 0.623 0.297  0.03
O 0.772 0.377 0.203  0.03
O 0.228 0.623 0.203  0.03
O 0.877 0.272 0.797  0.03
O 0.123 0.728 0.797  0.03
O 0.852 0.425 0.616  0.05
O 0.377 0.228 0.797  0.03
O 0.623 0.772 0.797  0.03
O 0.728 0.877 0.203  0.03
O 0.728 0.123 0.297  0.03
O 0.272 0.877 0.297  0.03
O 0.623 0.228 0.703  0.03
O 0.377 0.772 0.703  0.03
O 0.272 0.123 0.203  0.03
O 0.425 0.852 0.116  0.05
O 0.648 0.925 0.616  0.05
O 0.352 0.075 0.616  0.05
O 0.425 0.148 0.384  0.05
O 0.575 0.852 0.384  0.05
O 0.575 0.148 0.116  0.05
O 0.352 0.925 0.884  0.05
O 0.648 0.075 0.884  0.05
O 0.075 0.648 0.384  0.05
O 0.852 0.575 0.884  0.05
O 0.148 0.425 0.884  0.05
O 0.075 0.352 0.116  0.05
O 0.925 0.648 0.116  0.05
O 0.925 0.352 0.384  0.05
O 0.148 0.575 0.616  0.05
O 0.228 0.377 0.297  0.03
Mn 0.500 0.000 0.750  4.57
Mn 0.500 0.000 0.250  4.57
Mn 0.000 0.500 0.750  4.57
Mn 0.000 0.500 0.250  4.57
Mn 0.500 0.000 0.000  4.53
Mn 0.500 0.000 0.500  4.53
Mn 0.000 0.500 0.500  4.53
Mn 0.000 0.500 0.000  4.53
Te 0.290 0.683 0.366  0.02
Te 0.817 0.790 0.866  0.02
Te 0.710 0.683 0.134  0.02
Te 0.710 0.317 0.366  0.02
Te 0.183 0.210 0.866  0.02
Te 0.817 0.210 0.634  0.02
Te 0.183 0.790 0.634  0.02
Te 0.290 0.317 0.134  0.02
Te 0.210 0.183 0.366  0.02
Te 0.317 0.710 0.866  0.02
Te 0.683 0.290 0.866  0.02
Te 0.210 0.817 0.134  0.02
Te 0.790 0.183 0.134  0.02
Te 0.790 0.817 0.366  0.02
Te 0.683 0.710 0.634  0.02
Te 0.317 0.290 0.634  0.02


b) comes first in stability; the runner-up is 11 meV per atom higher.